Density functional theory data (PBE) for crystalline Ho6Ir2Ru at its relaxed geometry.

Cell: 6.6117 7.2637 11.3168 Å, 90.00 123.02 90.00°
With the nearest neighbours (Å) after each atom.
Sites, in units of the cell vectors:
Ho: 0.0799 0.0381 0.2426  1 Ru 2.73, 2 Ir 2.77-2.80
Ho: 0.0799 0.4619 0.7426  1 Ru 2.73, 2 Ir 2.77-2.80
Ho: 0.2294 0.6667 0.0749  1 Ru 2.65, 1 Ir 2.90
Ho: 0.2294 0.8333 0.5749  1 Ru 2.65, 1 Ir 2.90
Ho: 0.3926 0.1726 0.0686  1 Ru 2.71, 2 Ir 2.81-3.03
Ho: 0.3926 0.3274 0.5686  1 Ru 2.71, 2 Ir 2.81-3.03
Ho: 0.6074 0.6726 0.4314  1 Ru 2.71, 2 Ir 2.81-3.03
Ho: 0.6074 0.8274 0.9314  1 Ru 2.71, 2 Ir 2.81-3.03
Ho: 0.7706 0.1667 0.4251  1 Ru 2.65, 1 Ir 2.90
Ho: 0.7706 0.3333 0.9251  1 Ru 2.65, 1 Ir 2.90
Ho: 0.9201 0.5381 0.2574  1 Ru 2.73, 2 Ir 2.77-2.80
Ho: 0.9201 0.9619 0.7574  1 Ru 2.73, 2 Ir 2.77-2.80
Ir: 0.3186 0.1320 0.7793  7 Ho 2.77-3.05
Ir: 0.3186 0.3680 0.2793  7 Ho 2.77-3.05
Ir: 0.6814 0.6320 0.7207  7 Ho 2.77-3.05
Ir: 0.6814 0.8680 0.2207  7 Ho 2.77-3.05
Ru: 0.5000 0.0000 0.5000  6 Ho 2.65-2.73
Ru: 0.5000 0.5000 0.0000  6 Ho 2.65-2.73

Density of states at the Fermi level   12.8 states/eV per cell
Mass density   10751 kg/m3
Raw total energy   -6.60 eV per atom